[1]
Entry from Alexandria: an optimized crystal structure of Tm7Tl4Ni (PBE).

The calculation puts the formation energy at -0.048 eV/atom. For the spin magnetization, the calculation gives 0.000 μB/atom. Its total energy is -3.93 eV per atom.

The structure belongs to space group C2/m (No. 12); the cell edges are 15.4332, 5.2121 and 11.1271 Å and the angles 90.00°, 129.24° and 90.00°. The distinct sites, in fractional coordinates, are Tm at (0.0000, 0.0000, 0.0000), Tm at (0.0631, 0.5000, 0.2799), Tm at (0.1470, 0.0000, 0.5726), Tm at (0.2219, 0.5000, 0.8640), Tl at (0.0793, 0.0000, 0.7809), Tl at (0.2174, 0.0000, 0.3519) and Ni at (0.0000, 0.5000, 0.0000).

[2]
Entry from Alexandria: an optimized crystal structure of Tm6TlNi2 (PBE).

The calculation puts the formation energy at -0.345 eV/atom. For the spin magnetization, the calculation gives 0.000 μB/atom. Its total energy is -4.87 eV per atom.

The structure belongs to space group Immm (No. 71); the cell edges are 9.2418, 9.5828 and 9.9498 Å and the angles 90.00°, 90.00° and 90.00°. The distinct sites, in fractional coordinates, are Tm at (0.0000, 0.2071, 0.2334), Tm at (0.1939, 0.5000, 0.1746), Tm at (0.2079, 0.3166, 0.5000), Tl at (0.0000, 0.0000, 0.0000), Tl at (0.0000, 0.0000, 0.5000), Ni at (0.0000, 0.3556, 0.0000) and Ni at (0.0000, 0.5000, 0.3756).